First-principles (GGA-PBE) data for a relaxed structure of HgPtSe2, as listed in the Alexandria database.

Structure (CIF):
```
data_HgPtSe2
_cell_length_a 8.387
_cell_length_b 8.387
_cell_length_c 5.494
_cell_angle_alpha 90.00
_cell_angle_beta 90.00
_cell_angle_gamma 90.00
_symmetry_space_group_name_H-M 'I 4/m c m'
_symmetry_Int_Tables_number 140
_symmetry_space_group_name_Hall '-I 4 2c'
loop_
_atom_site_label
_atom_site_fract_x
_atom_site_fract_y
_atom_site_fract_z
Hg1 0.000 0.000 0.250
Pt1 0.000 0.500 0.250
Se1 0.174 0.326 0.000
```

Values from the calculation:
The energy relative to the elements, uncorrected is 0.07 eV/atom. The calculation puts the polymorph energy (0 for the lowest one) at 35.4 kJ/mol of atoms.

First-principles (GGA-PBE) data for a relaxed structure of CsScCoTe2, as listed in the Alexandria database.

Structure (CIF):
```
data_CsScCoTe2
_cell_length_a 5.317
_cell_length_b 5.317
_cell_length_c 5.013
_cell_angle_alpha 90.00
_cell_angle_beta 90.00
_cell_angle_gamma 90.00
_symmetry_space_group_name_H-M 'P 4/m m m'
_symmetry_Int_Tables_number 123
_symmetry_space_group_name_Hall '-P 4 2'
loop_
_atom_site_label
_atom_site_fract_x
_atom_site_fract_y
_atom_site_fract_z
Cs1 0.000 0.000 0.000
Sc1 0.500 0.500 0.000
Co1 0.000 0.000 0.500
Te1 0.000 0.500 0.500
```

Values from the calculation:
The energy relative to the elements, uncorrected is 0.29 eV/atom.

First-principles (GGA-PBE) data for a relaxed structure of Ba2Mg2NpSb4, as listed in the Alexandria database.

Structure (CIF):
```
data_Ba2Mg2NpSb4
_cell_length_a 16.726
_cell_length_b 4.710
_cell_length_c 8.021
_cell_angle_alpha 90.00
_cell_angle_beta 108.89
_cell_angle_gamma 90.00
_symmetry_space_group_name_H-M 'C 1 2/m 1'
_symmetry_Int_Tables_number 12
loop_
_symmetry_equiv_pos_as_xyz
'x,y,z'
'-x,-y,-z'
'-x,y,-z'
'x,-y,z'
'x+1/2,y+1/2,z'
'-x+1/2,-y+1/2,-z'
'-x+1/2,y+1/2,-z'
'x+1/2,-y+1/2,z'
loop_
_atom_site_label
_atom_site_fract_x
_atom_site_fract_y
_atom_site_fract_z
Ba1 0.133 0.000 0.076
Mg1 0.173 0.500 0.492
Np1 0.000 0.000 0.500
Sb1 0.005 0.500 0.245
Sb2 0.203 0.000 0.703
```

Values from the calculation:
The energy relative to the elements, uncorrected is -0.67 eV/atom.

First-principles (GGA-PBE) data for a relaxed structure of LiPW2, as listed in the Alexandria database.

Structure (CIF):
```
data_LiPW2
_cell_length_a 3.209
_cell_length_b 4.542
_cell_length_c 8.459
_cell_angle_alpha 90.00
_cell_angle_beta 90.00
_cell_angle_gamma 90.00
_symmetry_space_group_name_H-M 'C m m 2'
_symmetry_Int_Tables_number 35
loop_
_symmetry_equiv_pos_as_xyz
'x,y,z'
'-x,-y,z'
'-x,y,z'
'x,-y,z'
'x+1/2,y+1/2,z'
'-x+1/2,-y+1/2,z'
'-x+1/2,y+1/2,z'
'x+1/2,-y+1/2,z'
loop_
_atom_site_label
_atom_site_fract_x
_atom_site_fract_y
_atom_site_fract_z
Li1 0.000 0.000 0.000
P1 0.000 0.500 0.235
W1 0.000 0.000 0.459
W2 0.000 0.500 0.718
```

Values from the calculation:
The formation energy from the elements is 0.744 eV per formula unit.

First-principles (GGA-PBE) data for a relaxed structure of Sc2SnBr, as listed in the Alexandria database.

Structure (CIF):
```
data_Sc2SnBr
_cell_length_a 3.3892
_cell_length_b 3.3892
_cell_length_c 30.5032
_cell_angle_alpha 90.00
_cell_angle_beta 90.00
_cell_angle_gamma 120.00
_symmetry_space_group_name_H-M 'R -3 m'
_symmetry_Int_Tables_number 166
_symmetry_space_group_name_Hall '-R 3 2"'
loop_
_atom_site_label
_atom_site_fract_x
_atom_site_fract_y
_atom_site_fract_z
Sc1 0.0000 0.0000 0.0953
Sn1 0.0000 0.0000 0.0000
Br1 0.0000 0.0000 0.5000
```

Values from the calculation:
The energy relative to the elements, uncorrected is -0.31 eV/atom. The calculation puts the polymorph energy (0 for the lowest one) at 34.2 kJ/mol of atoms.

First-principles (GGA-PBE) data for a relaxed structure of MoOs2W, as listed in the Alexandria database.

Structure (CIF):
```
data_MoOs2W
_cell_length_a 3.063
_cell_length_b 4.473
_cell_length_c 9.026
_cell_angle_alpha 90.00
_cell_angle_beta 90.00
_cell_angle_gamma 90.00
_symmetry_space_group_name_H-M 'I m m m'
_symmetry_Int_Tables_number 71
_symmetry_space_group_name_Hall '-I 2 2'
loop_
_atom_site_label
_atom_site_fract_x
_atom_site_fract_y
_atom_site_fract_z
Mo1 0.000 0.000 0.000
Os1 0.000 0.500 0.231
W1 0.000 0.000 0.500
```

Values from the calculation:
The formation energy from the elements is 1.165 eV per formula unit. The calculation puts the polymorph energy (0 for the lowest one) at 22.0 kJ/mol of atoms.

First-principles (GGA-PBE) data for a relaxed structure of SrFe2Mo, as listed in the Alexandria database.

Structure (CIF):
```
data_SrFe2Mo
_cell_length_a 4.254
_cell_length_b 5.275
_cell_length_c 6.776
_cell_angle_alpha 90.00
_cell_angle_beta 90.00
_cell_angle_gamma 90.00
_symmetry_space_group_name_H-M 'I m m m'
_symmetry_Int_Tables_number 71
_symmetry_space_group_name_Hall '-I 2 2'
loop_
_atom_site_label
_atom_site_fract_x
_atom_site_fract_y
_atom_site_fract_z
Sr1 0.000 0.000 0.000
Fe1 0.000 0.500 0.195
Mo1 0.000 0.000 0.500
```

Values from the calculation:
The formation energy from the elements is 3.774 eV per formula unit. The calculation puts the polymorph energy (0 for the lowest one) at 46.3 kJ/mol of atoms.

First-principles (GGA-PBE) data for a relaxed structure of ScZn2As, as listed in the Alexandria database.

Structure (CIF):
```
data_ScZn2As
_cell_length_a 3.896
_cell_length_b 3.896
_cell_length_c 4.573
_cell_angle_alpha 90.00
_cell_angle_beta 90.00
_cell_angle_gamma 90.00
_symmetry_space_group_name_H-M 'P 4/m m m'
_symmetry_Int_Tables_number 123
_symmetry_space_group_name_Hall '-P 4 2'
loop_
_atom_site_label
_atom_site_fract_x
_atom_site_fract_y
_atom_site_fract_z
Sc1 0.000 0.000 0.000
Zn1 0.000 0.500 0.500
As1 0.500 0.500 0.000
```

Values from the calculation:
The formation energy from the elements is -1.943 eV per formula unit.

First-principles (GGA-PBE) data for a relaxed structure of NdAl3Rh2, as listed in the Alexandria database.

Structure (CIF):
```
data_NdAl3Rh2
_cell_length_a 9.766
_cell_length_b 7.946
_cell_length_c 5.637
_cell_angle_alpha 90.00
_cell_angle_beta 90.00
_cell_angle_gamma 90.00
_symmetry_space_group_name_H-M 'C m c m'
_symmetry_Int_Tables_number 63
_symmetry_space_group_name_Hall '-C 2c 2'
loop_
_atom_site_label
_atom_site_fract_x
_atom_site_fract_y
_atom_site_fract_z
Nd1 0.000 0.145 0.250
Al1 0.000 0.463 0.750
Al2 0.183 0.221 0.750
Rh1 0.211 0.500 0.000
```

Values from the calculation:
The formation energy from the elements is -5.120 eV per formula unit.

First-principles (GGA-PBE) data for a relaxed structure of ThCo2Cu, as listed in the Alexandria database.

Structure (CIF):
```
data_ThCo2Cu
_cell_length_a 4.2241
_cell_length_b 4.2241
_cell_length_c 13.2056
_cell_angle_alpha 90.00
_cell_angle_beta 90.00
_cell_angle_gamma 120.00
_symmetry_space_group_name_H-M 'R -3 m'
_symmetry_Int_Tables_number 166
_symmetry_space_group_name_Hall '-R 3 2"'
loop_
_atom_site_label
_atom_site_fract_x
_atom_site_fract_y
_atom_site_fract_z
Th1 0.0000 0.0000 0.0000
Co1 0.0000 0.0000 0.1873
Cu1 0.0000 0.0000 0.5000
```

Values from the calculation:
The formation energy from the elements is -0.574 eV per formula unit.

First-principles (GGA-PBE) data for a relaxed structure of Sr2GaAgBr, as listed in the Alexandria database.

Structure (CIF):
```
data_Sr2GaAgBr
_cell_length_a 6.131
_cell_length_b 6.131
_cell_length_c 4.821
_cell_angle_alpha 90.00
_cell_angle_beta 90.00
_cell_angle_gamma 90.00
_symmetry_space_group_name_H-M 'P 4/m m m'
_symmetry_Int_Tables_number 123
_symmetry_space_group_name_Hall '-P 4 2'
loop_
_atom_site_label
_atom_site_fract_x
_atom_site_fract_y
_atom_site_fract_z
Sr1 0.000 0.500 0.000
Ga1 0.000 0.000 0.000
Ag1 0.000 0.000 0.500
Br1 0.500 0.500 0.500
```

Values from the calculation:
The energy relative to the elements, uncorrected is -0.54 eV/atom.

First-principles (GGA-PBE) data for a relaxed structure of RbTlPb2I6, as listed in the Alexandria database.

Structure (CIF):
```
data_RbTlPb2I6
_cell_length_a 8.7055
_cell_length_b 8.7055
_cell_length_c 22.2529
_cell_angle_alpha 90.00
_cell_angle_beta 90.00
_cell_angle_gamma 120.00
_symmetry_space_group_name_H-M 'R 3'
_symmetry_Int_Tables_number 146
_symmetry_space_group_name_Hall 'R 3'
loop_
_atom_site_label
_atom_site_fract_x
_atom_site_fract_y
_atom_site_fract_z
Rb1 0.0000 0.0000 0.0000
Tl1 0.0000 0.0000 0.4876
Pb1 0.0000 0.0000 0.2838
Pb2 0.0000 0.0000 0.7884
I1 0.0088 0.3937 0.5418
I2 0.0120 0.5990 0.0429
```

Values from the calculation:
The energy relative to the elements, uncorrected is -0.81 eV/atom.

Values for magnetization, μB/f.u., ordered as above
0.00, 0.61, 3.38, 0.00, 0.00, 0.00, 3.61, 0.00, 0.00, 0.64, 0.00, 0.00